(1)
Density functional theory data (GGA-PBE) for SrOsPt3 after structural relaxation.

a = 4.9153 Å, b = 4.9153 Å, c = 4.9153 Å
α = 90.00°, β = 90.00°, γ = 90.00°
Last column: nearest neighbours and their distance in Å.
Fractional coordinates of all 5 atoms:
Pt1 0.0000 0.5000 0.0000  2 Os 2.46
Sr1 0.5000 0.5000 0.5000  12 Pt 3.48
Pt2 0.5000 0.0000 0.0000  2 Os 2.46
Pt3 0.0000 0.0000 0.5000  2 Os 2.46
Os1 0.0000 0.0000 0.0000  6 Pt 2.46

Distance to the lowest polymorph of the same formula   0.000 eV per atom
M_tot   0.00 Bohr magnetons per cell
Density of states at the Fermi level   4.562 states/eV/f.u.
Space-group type   Pm-3m (221)



(2)
Density functional theory data (GGA-PBE) for Sr2OsPt after structural relaxation.

a = 5.0558 Å, b = 5.0570 Å, c = 3.7934 Å
α = 90.00°, β = 90.00°, γ = 90.00°
Last column: nearest neighbours and their distance in Å.
Fractional coordinates of all 4 atoms:
Sr1 0.5000 0.5000 0.0000  4 Pt 3.16, 4 Os 3.16
Sr2 0.0000 0.0000 0.0000  4 Os 3.16, 4 Pt 3.16
Os1 0.5000 0.0000 0.5000  8 Sr 3.16
Pt1 0.0000 0.5000 0.5000  8 Sr 3.16

Distance to the lowest polymorph of the same formula   0.255 eV per atom
M_tot   0.93 Bohr magnetons per cell
Density of states at the Fermi level   5.600 states/eV/f.u.
Space-group type   P4/mmm (123)



(3)
Density functional theory data (GGA-PBE) for Sr2OsPt after structural relaxation.

a = 5.0463 Å, b = 5.0463 Å, c = 5.0463 Å
α = 60.00°, β = 60.00°, γ = 60.00°
Last column: nearest neighbours and their distance in Å.
Fractional coordinates of all 4 atoms:
Sr1 0.0000 0.0000 0.0000  4 Pt 3.09, 4 Sr 3.09
Os1 0.5000 0.5000 0.5000  4 Sr 3.09, 4 Pt 3.09
Sr2 0.2500 0.2500 0.2500  4 Os 3.09, 4 Sr 3.09
Pt1 0.7500 0.7500 0.7500  4 Os 3.09, 4 Sr 3.09

Distance to the lowest polymorph of the same formula   0.403 eV per atom
M_tot   1.59 Bohr magnetons per cell
Density of states at the Fermi level   4.222 states/eV/f.u.
Space-group type   F-43m (216)